i:
# Ce4SnOs2

An optimized crystal structure of Ce4SnOs2 (PBE, the Alexandria database).

Output
- Symmetry: Cmcm, No. 63
- Total magnetic moment: 3.6 Bohr magnetons per cell

Lattice parameters (Å, degrees): 6.370 6.370 13.663 90.00 90.00 137.95
Sites, in units of the cell vectors:
Ce 0.000 0.000 0.000
Ce 0.000 0.000 0.500
Ce 0.273 0.727 0.610
Ce 0.273 0.727 0.890
Ce 0.417 0.583 0.250
Ce 0.583 0.417 0.750
Ce 0.727 0.273 0.110
Ce 0.727 0.273 0.390
Sn 0.113 0.887 0.250
Sn 0.887 0.113 0.750
Os 0.392 0.608 0.056
Os 0.392 0.608 0.444
Os 0.608 0.392 0.556
Os 0.608 0.392 0.944

ii:
# Ce4SnOs2

An optimized crystal structure of Ce4SnOs2 (PBE, the Alexandria database).

Output
- Symmetry: Cc, No. 9
- Total magnetic moment: 2.2 Bohr magnetons per cell

Lattice parameters (Å, degrees): 8.633 8.633 6.854 107.00 107.00 121.10
Sites, in units of the cell vectors:
Ce 0.021 0.979 0.500
Ce 0.041 0.478 0.293
Ce 0.290 0.854 0.144
Ce 0.420 0.583 0.828
Ce 0.478 0.041 0.793
Ce 0.583 0.420 0.328
Ce 0.854 0.290 0.644
Ce 0.979 0.021 0.000
Sn 0.557 0.778 0.462
Sn 0.778 0.557 0.962
Os 0.055 0.726 0.686
Os 0.211 0.390 0.001
Os 0.390 0.211 0.501
Os 0.726 0.055 0.186

Stability ranking, top entry: ii; the second entry is 0.006 eV/atom less favorable.

i:
# SrCe2Os

An optimized crystal structure of SrCe2Os (PBE, the Alexandria database).

Output
- Symmetry: R-3m, No. 166
- Total magnetic moment: 1.5 Bohr magnetons per cell

Lattice parameters (Å, degrees): 9.865 9.865 9.865 24.18 24.18 24.18
Sites, in units of the cell vectors:
Sr 0.000 0.000 0.000
Ce 0.216 0.216 0.216
Ce 0.784 0.784 0.784
Os 0.500 0.500 0.500

ii:
# SrCe2Os

An optimized crystal structure of SrCe2Os (PBE, the Alexandria database).

Output
- Symmetry: P4/mmm, No. 123
- Total magnetic moment: 1.5 Bohr magnetons per cell

Lattice parameters (Å, degrees): 3.530 3.530 10.043 90.00 90.00 90.00
Sites, in units of the cell vectors:
Sr 0.000 0.000 0.000
Ce 0.500 0.500 0.340
Ce 0.500 0.500 0.660
Os 0.000 0.000 0.500

Stability ranking, top entry: i; the second entry is 0.070 eV/atom less favorable.

i:
# CeTaOs

An optimized crystal structure of CeTaOs (PBE, the Alexandria database).

Output
- Symmetry: I4mm, No. 107
- Total magnetic moment: 0.0 Bohr magnetons per cell

Lattice parameters (Å, degrees): 6.473 6.473 6.473 151.65 151.65 40.53
Sites, in units of the cell vectors:
Ce 0.000 0.000 0.000
Ta 0.296 0.296 0.000
Os 0.681 0.681 0.000

ii:
# CeTaOs

An optimized crystal structure of CeTaOs (PBE, the Alexandria database).

Output
- Symmetry: R-3m, No. 166
- Total magnetic moment: 1.1 Bohr magnetons per cell

Lattice parameters (Å, degrees): 8.900 8.900 8.900 28.06 28.06 28.06
Sites, in units of the cell vectors:
Ce 0.133 0.133 0.133
Ce 0.867 0.867 0.867
Ta 0.274 0.274 0.274
Ta 0.726 0.726 0.726
Os 0.376 0.376 0.376
Os 0.624 0.624 0.624

Stability ranking, top entry: i; the second entry is 0.439 eV/atom less favorable.

i:
# Tb2CeOs

An optimized crystal structure of Tb2CeOs (PBE, the Alexandria database).

Output
- Symmetry: Cmcm, No. 63
- Total magnetic moment: 1.0 Bohr magnetons per cell

Lattice parameters (Å, degrees): 6.365 6.365 9.358 90.00 90.00 144.67
Sites, in units of the cell vectors:
Tb 0.145 0.855 0.568
Tb 0.145 0.855 0.932
Tb 0.855 0.145 0.068
Tb 0.855 0.145 0.432
Ce 0.419 0.581 0.750
Ce 0.581 0.419 0.250
Os 0.234 0.766 0.250
Os 0.766 0.234 0.750

ii:
# Tb2CeOs

An optimized crystal structure of Tb2CeOs (PBE, the Alexandria database).

Output
- Symmetry: R-3m, No. 166
- Total magnetic moment: 0.5 Bohr magnetons per cell

Lattice parameters (Å, degrees): 11.048 11.048 11.048 17.24 17.24 17.24
Sites, in units of the cell vectors:
Tb 0.102 0.102 0.102
Tb 0.898 0.898 0.898
Ce 0.000 0.000 0.000
Os 0.500 0.500 0.500

iii:
# Tb2CeOs

An optimized crystal structure of Tb2CeOs (PBE, the Alexandria database).

Output
- Symmetry: P4/mmm, No. 123
- Total magnetic moment: 1.4 Bohr magnetons per cell

Lattice parameters (Å, degrees): 3.410 3.410 9.229 90.00 90.00 90.00
Sites, in units of the cell vectors:
Tb 0.000 0.000 0.181
Tb 0.000 0.000 0.819
Ce 0.500 0.500 0.500
Os 0.500 0.500 0.000

iv:
# Tb2CeOs

An optimized crystal structure of Tb2CeOs (PBE, the Alexandria database).

Output
- Symmetry: Pnma, No. 62
- Total magnetic moment: 1.9 Bohr magnetons per cell

Lattice parameters (Å, degrees): 7.223 9.477 6.401 90.00 90.00 90.00
Sites, in units of the cell vectors:
Tb 0.172 0.065 0.170
Tb 0.172 0.435 0.170
Tb 0.328 0.565 0.670
Tb 0.328 0.935 0.670
Tb 0.672 0.065 0.330
Tb 0.672 0.435 0.330
Tb 0.828 0.565 0.830
Tb 0.828 0.935 0.830
Ce 0.051 0.250 0.649
Ce 0.449 0.750 0.149
Ce 0.551 0.250 0.851
Ce 0.949 0.750 0.351
Os 0.130 0.750 0.978
Os 0.370 0.250 0.478
Os 0.630 0.750 0.522
Os 0.870 0.250 0.022

Stability ranking, top entry: iv; the second entry is 0.035 eV/atom less favorable.

i:
# TbCeTlOs

An optimized crystal structure of TbCeTlOs (PBE, the Alexandria database).

Output
- Symmetry: P4mm, No. 99
- Total magnetic moment: 0.3 Bohr magnetons per cell

Lattice parameters (Å, degrees): 3.380 3.380 8.545 90.00 90.00 90.00
Sites, in units of the cell vectors:
Tb 0.000 0.000 0.000
Ce 0.000 0.000 0.593
Tl 0.500 0.500 0.292
Os 0.500 0.500 0.796

ii:
# TbCeTlOs

An optimized crystal structure of TbCeTlOs (PBE, the Alexandria database).

Output
- Symmetry: F-43m, No. 216
- Total magnetic moment: 0.5 Bohr magnetons per cell

Lattice parameters (Å, degrees): 5.139 5.139 5.139 60.00 60.00 60.00
Sites, in units of the cell vectors:
Tb 0.000 0.000 0.000
Ce 0.500 0.500 0.500
Tl 0.750 0.750 0.750
Os 0.250 0.250 0.250

Stability ranking, top entry: i; the second entry is 0.228 eV/atom less favorable.

i:
# Ce6TcOs

An optimized crystal structure of Ce6TcOs (PBE, the Alexandria database).

Output
- Symmetry: R-3, No. 148
- Total magnetic moment: 3.9 Bohr magnetons per cell

Lattice parameters (Å, degrees): 7.467 7.467 7.467 50.67 50.67 50.67
Sites, in units of the cell vectors:
Ce 0.058 0.444 0.749
Ce 0.251 0.942 0.556
Ce 0.444 0.749 0.058
Ce 0.556 0.251 0.942
Ce 0.749 0.058 0.444
Ce 0.942 0.556 0.251
Tc 0.500 0.500 0.500
Os 0.000 0.000 0.000

ii:
# Ce6TcOs

An optimized crystal structure of Ce6TcOs (PBE, the Alexandria database).

Output
- Symmetry: C2/m, No. 12
- Total magnetic moment: 0.0 Bohr magnetons per cell

Lattice parameters (Å, degrees): 6.531 6.531 6.307 102.06 102.06 122.25
Sites, in units of the cell vectors:
Ce 0.047 0.452 0.751
Ce 0.248 0.248 0.253
Ce 0.452 0.047 0.751
Ce 0.548 0.953 0.249
Ce 0.752 0.752 0.747
Ce 0.953 0.548 0.249
Tc 0.000 0.000 0.500
Os 0.500 0.500 0.000

Stability ranking, top entry: i; the second entry is 0.010 eV/atom less favorable.